1.
A plane-wave DFT calculation with GGA-PBE was carried out for a geometry-optimized BaTe3Ru structure.

Cell and atoms, written as POSCAR:
```
BaTe3Ru
1.0
6.371 0.000 0.000
0.000 6.371 0.000
0.000 0.000 6.371
Ba Te Ru
1 3 1
Direct
0.000 0.000 0.000 Ba
0.000 0.000 0.500 Te
0.000 0.500 0.000 Te
0.500 0.000 0.000 Te
0.500 0.500 0.500 Ru
```

Results
- Total energy: -14.1 eV/cell
- Uncorrected formation energy: 1298.0 meV per atom
- SG: Pm-3m (221)

=====

2.
A plane-wave DFT calculation with GGA-PBE was carried out for a geometry-optimized BaTeRu2 structure.

Cell and atoms, written as POSCAR:
```
BaTeRu2
1.0
2.283 1.318 5.768
-2.283 1.318 5.768
0.000 -2.636 5.768
Ba Te Ru
1 1 2
Direct
0.000 0.000 0.000 Ba
0.500 0.500 0.500 Te
0.189 0.189 0.189 Ru
0.811 0.811 0.811 Ru
```

Results
- Total energy: -23.5 eV/cell
- Uncorrected formation energy: 33.7 meV per atom
- SG: R-3m (166)

=====

3.
A plane-wave DFT calculation with GGA-PBE was carried out for a geometry-optimized BaTeRu2 structure.

Cell and atoms, written as POSCAR:
```
BaTeRu2
1.0
-2.014 3.027 4.554
2.014 -3.027 4.554
2.014 3.027 -4.554
Ba Te Ru
1 1 2
Direct
0.000 0.000 0.000 Ba
0.310 0.810 0.500 Te
0.510 0.510 0.000 Ru
0.642 0.142 0.500 Ru
```

Results
- Total energy: -22.3 eV/cell
- Uncorrected formation energy: 332.9 meV per atom
- SG: Imm2 (44)

=====

4.
A plane-wave DFT calculation with GGA-PBE was carried out for a geometry-optimized BaTeRu2 structure.

Cell and atoms, written as POSCAR:
```
BaTeRu2
1.0
4.168 0.000 0.000
0.000 3.997 0.000
-1.749 0.000 6.477
Ba Te Ru
1 1 2
Direct
0.000 0.000 0.000 Ba
0.647 0.500 0.340 Te
0.189 0.500 0.626 Ru
0.456 0.000 0.561 Ru
```

Results
- Total energy: -23.1 eV/cell
- Uncorrected formation energy: 133.5 meV per atom
- SG: Pm (6)

=====

5.
A plane-wave DFT calculation with GGA-PBE was carried out for a geometry-optimized BaTe3Ru structure.

Cell and atoms, written as POSCAR:
```
BaTe3Ru
1.0
5.388 0.000 0.000
0.000 5.388 0.000
0.000 0.000 5.388
Ba Te Ru
1 3 1
Direct
0.000 0.000 0.000 Ba
0.000 0.500 0.500 Te
0.500 0.000 0.500 Te
0.500 0.500 0.000 Te
0.500 0.500 0.500 Ru
```

Results
- Total energy: -22.6 eV/cell
- Uncorrected formation energy: -400.5 meV per atom
- SG: Pm-3m (221)

=====

6.
A plane-wave DFT calculation with GGA-PBE was carried out for a geometry-optimized BaTeRu2 structure.

Cell and atoms, written as POSCAR:
```
BaTeRu2
1.0
2.293 -2.541 0.000
2.293 2.541 0.000
0.000 0.000 7.980
Ba Te Ru
1 1 2
Direct
0.000 0.000 0.000 Ba
0.500 0.500 0.645 Te
0.000 0.000 0.440 Ru
0.500 0.500 0.294 Ru
```

Results
- Total energy: -22.2 eV/cell
- Uncorrected formation energy: 350.8 meV per atom
- SG: Cmm2 (35)

=====

7.
A plane-wave DFT calculation with GGA-PBE was carried out for a geometry-optimized BaTeRu2 structure.

Cell and atoms, written as POSCAR:
```
BaTeRu2
1.0
3.295 -4.637 0.000
3.295 4.637 0.000
-1.570 0.000 2.845
Ba Te Ru
1 1 2
Direct
0.000 0.000 0.000 Ba
0.500 0.500 0.000 Te
0.000 0.500 0.000 Ru
0.500 0.000 0.000 Ru
```

Results
- Total energy: -20.6 eV/cell
- Uncorrected formation energy: 765.6 meV per atom
- SG: C2/m (12)

=====

8.
A plane-wave DFT calculation with GGA-PBE was carried out for a geometry-optimized Ba3TeRu structure.

Cell and atoms, written as POSCAR:
```
Ba3TeRu
1.0
5.835 0.000 0.000
0.000 5.835 0.000
0.000 0.000 5.835
Ba Te Ru
3 1 1
Direct
0.000 0.000 0.500 Ba
0.000 0.500 0.000 Ba
0.500 0.000 0.000 Ba
0.500 0.500 0.500 Te
0.000 0.000 0.000 Ru
```

Results
- Total energy: -20.0 eV/cell
- Uncorrected formation energy: -361.7 meV per atom
- SG: Pm-3m (221)

=====

9.
A plane-wave DFT calculation with GGA-PBE was carried out for a geometry-optimized BaZnTeRu2 structure.

Cell and atoms, written as POSCAR:
```
BaZnTeRu2
1.0
5.137 0.000 0.000
0.000 5.137 0.000
0.000 0.000 6.545
Ba Zn Te Ru
1 1 1 2
Direct
0.000 0.000 0.000 Ba
0.500 0.500 0.500 Zn
0.000 0.000 0.500 Te
0.000 0.500 0.000 Ru
0.500 0.000 0.000 Ru
```

Results
- Total energy: -14.9 eV/cell
- Uncorrected formation energy: 1997.9 meV per atom
- SG: P4/mmm (123)

=====

10.
A plane-wave DFT calculation with GGA-PBE was carried out for a geometry-optimized BaZrTe2Ru structure.

Cell and atoms, written as POSCAR:
```
BaZrTe2Ru
1.0
5.642 0.000 0.000
0.000 5.642 0.000
0.000 0.000 4.788
Ba Zr Te Ru
1 1 2 1
Direct
0.000 0.000 0.000 Ba
0.500 0.500 0.000 Zr
0.000 0.500 0.500 Te
0.500 0.000 0.500 Te
0.500 0.500 0.500 Ru
```

Results
- Total energy: -27.3 eV/cell
- Uncorrected formation energy: -245.6 meV per atom
- SG: P4/mmm (123)

=====

11.
A plane-wave DFT calculation with GGA-PBE was carried out for a geometry-optimized BaTi2Ru structure.

Cell and atoms, written as POSCAR:
```
BaTi2Ru
1.0
-2.660 2.660 8.208
2.660 -2.660 8.208
2.660 2.660 -8.208
Ba Ti Ru
2 4 2
Direct
0.375 0.625 0.750 Ba
0.625 0.375 0.250 Ba
0.000 0.000 0.000 Ti
0.000 0.000 0.500 Ti
0.000 0.500 0.000 Ti
0.500 0.000 0.500 Ti
0.125 0.875 0.250 Ru
0.875 0.125 0.750 Ru
```

Results
- Total energy: -48.2 eV/cell
- Energy relative to the elements: 0.722 eV per atom
- SG: I4_1/amd (141)

=====

12.
A plane-wave DFT calculation with GGA-PBE was carried out for a geometry-optimized BaTi3Ru structure.

Cell and atoms, written as POSCAR:
```
BaTi3Ru
1.0
4.909 0.000 0.000
0.000 4.909 0.000
0.000 0.000 4.909
Ba Ti Ru
1 3 1
Direct
0.000 0.000 0.000 Ba
0.000 0.500 0.500 Ti
0.500 0.000 0.500 Ti
0.500 0.500 0.000 Ti
0.500 0.500 0.500 Ru
```

Results
- Total energy: -33.2 eV/cell
- Energy relative to the elements: 0.331 eV per atom
- SG: Pm-3m (221)

=====

13.
A plane-wave DFT calculation with GGA-PBE was carried out for a geometry-optimized BaTi3Ru structure.

Cell and atoms, written as POSCAR:
```
BaTi3Ru
1.0
4.848 0.000 0.000
0.000 4.848 0.000
0.000 0.000 4.848
Ba Ti Ru
1 3 1
Direct
0.000 0.000 0.000 Ba
0.000 0.000 0.500 Ti
0.000 0.500 0.000 Ti
0.500 0.000 0.000 Ti
0.500 0.500 0.500 Ru
```

Results
- Total energy: -24.1 eV/cell
- Energy relative to the elements: 2.152 eV per atom
- SG: Pm-3m (221)

=====

14.
A plane-wave DFT calculation with GGA-PBE was carried out for a geometry-optimized BaTi2Ru structure.

Cell and atoms, written as POSCAR:
```
BaTi2Ru
1.0
0.000 3.389 3.389
3.389 0.000 3.389
3.389 3.389 0.000
Ba Ti Ru
1 2 1
Direct
0.000 0.000 0.000 Ba
0.250 0.250 0.250 Ti
0.750 0.750 0.750 Ti
0.500 0.500 0.500 Ru
```

Results
- Total energy: -24.5 eV/cell
- Energy relative to the elements: 0.632 eV per atom
- SG: Fm-3m (225)

=====

15.
A plane-wave DFT calculation with GGA-PBE was carried out for a geometry-optimized BaTi2Ru2 structure.

Cell and atoms, written as POSCAR:
```
BaTi2Ru2
1.0
-2.108 2.108 6.006
2.108 -2.108 6.006
2.108 2.108 -6.006
Ba Ti Ru
1 2 2
Direct
0.000 0.000 0.000 Ba
0.250 0.750 0.500 Ti
0.750 0.250 0.500 Ti
0.371 0.371 0.000 Ru
0.629 0.629 0.000 Ru
```

Results
- Total energy: -37.0 eV/cell
- Energy relative to the elements: -0.140 eV per atom
- SG: I4/mmm (139)

=====

Number 1: spin magnetization 3.54 μB per formula unit. Number 2: spin magnetization 1.19 μB per formula unit. Number 3: spin magnetization 0.00 μB per formula unit. Number 4: spin magnetization 0.00 μB per formula unit. Number 5: spin magnetization 1.75 μB per formula unit. Number 6: spin magnetization 0.27 μB per formula unit. Number 7: spin magnetization 0.00 μB per formula unit. Number 8: spin magnetization 0.00 μB per formula unit. Number 9: spin magnetization 3.70 μB per formula unit. Number 10: spin magnetization 1.01 μB per formula unit. Number 11: spin magnetization 1.08 μB per formula unit. Number 12: spin magnetization 0.00 μB per formula unit. Number 13: spin magnetization 0.00 μB per formula unit. Number 14: spin magnetization 0.00 μB per formula unit. Number 15: spin magnetization 0.00 μB per formula unit.